1.
A relaxed ZrCuGe crystal, computed with GGA-PBE.

Cell: 6.583 4.007 7.455 Å, 90.00 90.00 90.00°
Atoms (fractional coordinates):
Zr1 0.988 0.250 0.694
Cu1 0.832 0.250 0.076
Cu2 0.668 0.750 0.576
Ge1 0.277 0.750 0.602
Zr2 0.012 0.750 0.306
Cu3 0.168 0.750 0.924
Cu4 0.332 0.250 0.424
Zr3 0.512 0.750 0.194
Ge2 0.723 0.250 0.398
Ge3 0.223 0.250 0.102
Ge4 0.777 0.750 0.898
Zr4 0.488 0.250 0.806

Values from the calculation:
Total DFT energy (no corrections): -0.22837 hartree per atom

---

2.
A relaxed ZrCuGe crystal, computed with GGA-PBE.

Cell: 6.582 4.028 7.425 Å, 90.00 90.00 90.00°
Atoms (fractional coordinates):
Cu1 0.326 0.750 0.922
Zr1 0.991 0.750 0.197
Ge1 0.223 0.750 0.599
Cu2 0.826 0.750 0.578
Zr2 0.009 0.250 0.803
Cu3 0.674 0.250 0.078
Ge2 0.777 0.250 0.401
Zr3 0.491 0.750 0.303
Ge3 0.723 0.750 0.901
Cu4 0.174 0.250 0.422
Ge4 0.277 0.250 0.099
Zr4 0.509 0.250 0.697

Values from the calculation:
Total DFT energy (no corrections): -0.22837 hartree per atom

---

3.
A relaxed Zr2Cu2Ge crystal, computed with GGA-PBE.

Cell: 7.864 7.864 7.864 Å, 154.93 154.93 35.74°
Last column: magnetic moment on the atom in μB.
Atoms (fractional coordinates):
Cu1 0.750 0.250 0.500  0.03
Ge1 0.000 0.000 0.000  0.05
Zr1 0.395 0.395 0.000  0.20
Zr2 0.605 0.605 0.000  0.20
Cu2 0.250 0.750 0.500  0.03

Values from the calculation:
Total DFT energy (no corrections): -0.21561 hartree per atom

---

4.
A relaxed ZrCuGe crystal, computed with GGA-PBE.

Cell: 4.231 4.231 4.231 Å, 60.00 60.00 60.00°
Atoms (fractional coordinates):
Cu1 0.000 0.000 0.000
Ge1 0.250 0.250 0.250
Zr1 0.750 0.750 0.750

Values from the calculation:
Total DFT energy (no corrections): -0.21855 hartree per atom

---

5.
A relaxed ZrCuGe crystal, computed with GGA-PBE.

Cell: 3.824 3.824 6.791 Å, 90.00 90.00 90.00°
Atoms (fractional coordinates):
Cu1 0.500 0.500 0.500
Cu2 0.000 0.000 0.500
Zr1 0.500 0.000 0.152
Ge1 0.500 0.000 0.740
Ge2 0.000 0.500 0.260
Zr2 0.000 0.500 0.848

Values from the calculation:
Total DFT energy (no corrections): -0.22853 hartree per atom

---

6.
A relaxed Zr3Cu4Ge4 crystal, computed with GGA-PBE.

Cell: 5.732 5.732 7.108 Å, 66.22 66.22 90.00°
Atoms (fractional coordinates):
Zr1 0.500 0.500 0.000
Cu1 0.926 0.926 0.822
Ge1 0.000 0.500 0.000
Cu2 0.252 0.252 0.822
Cu3 0.074 0.748 0.178
Ge2 0.500 0.000 0.000
Cu4 0.748 0.074 0.178
Zr2 0.250 0.750 0.500
Zr3 0.750 0.250 0.500
Ge3 0.737 0.737 0.527
Ge4 0.263 0.263 0.473

Values from the calculation:
Total DFT energy (no corrections): -0.20958 hartree per atom

---

7.
A relaxed ZrCuGe crystal, computed with GGA-PBE.

Cell: 4.433 4.433 4.433 Å, 60.00 60.00 60.00°
Atoms (fractional coordinates):
Zr1 0.000 0.000 0.000
Ge1 0.750 0.750 0.750
Cu1 0.250 0.250 0.250

Values from the calculation:
Total DFT energy (no corrections): -0.20459 hartree per atom

---

8.
A relaxed Zr3Cu4Ge4 crystal, computed with GGA-PBE.

Cell: 6.462 4.091 7.297 Å, 90.00 89.52 90.00°
Atoms (fractional coordinates):
Zr1 0.493 0.750 0.291
Ge1 0.732 0.750 0.898
Cu1 0.832 0.750 0.579
Ge2 0.772 0.250 0.399
Ge3 0.269 0.250 0.094
Zr2 0.992 0.750 0.208
Cu2 0.682 0.250 0.071
Cu3 0.176 0.250 0.429
Ge4 0.225 0.750 0.597
Cu4 0.317 0.750 0.922
Zr3 0.506 0.250 0.710

Values from the calculation:
Total DFT energy (no corrections): -0.21099 hartree per atom

---

9.
A relaxed ZrCuGe crystal, computed with GGA-PBE.

Cell: 6.032 4.055 8.287 Å, 90.00 90.00 90.00°
Atoms (fractional coordinates):
Cu1 0.120 0.250 0.017
Ge1 0.296 0.750 0.200
Cu2 0.620 0.250 0.483
Cu3 0.380 0.750 0.517
Zr1 0.402 0.750 0.868
Zr2 0.598 0.250 0.132
Cu4 0.880 0.750 0.983
Ge2 0.204 0.250 0.700
Zr3 0.902 0.750 0.632
Zr4 0.098 0.250 0.368
Ge3 0.704 0.250 0.800
Ge4 0.796 0.750 0.300

Values from the calculation:
Total DFT energy (no corrections): -0.21986 hartree per atom

---

10.
A relaxed ZrCuGe crystal, computed with GGA-PBE.

Cell: 6.574 4.011 7.447 Å, 90.00 90.00 90.00°
Atoms (fractional coordinates):
Zr1 0.010 0.750 0.305
Ge1 0.222 0.250 0.100
Zr2 0.510 0.750 0.195
Zr3 0.990 0.250 0.695
Zr4 0.490 0.250 0.805
Cu1 0.671 0.750 0.578
Cu2 0.829 0.250 0.078
Ge2 0.278 0.750 0.600
Cu3 0.171 0.750 0.922
Cu4 0.329 0.250 0.422
Ge3 0.722 0.250 0.400
Ge4 0.778 0.750 0.900

Values from the calculation:
Total DFT energy (no corrections): -0.22836 hartree per atom

---

11.
A relaxed Cu2H crystal, computed with GGA-PBE.

Cell: 5.155 5.155 5.155 Å, 60.06 60.06 60.06°
Atoms (fractional coordinates):
H1 0.250 0.250 0.250
Cu1 0.375 0.875 0.375
H2 0.500 0.500 0.500
Cu2 0.375 0.375 0.375
Cu3 0.375 0.375 0.875
Cu4 0.875 0.375 0.375

Values from the calculation:
Total DFT energy (no corrections): -0.10817 hartree per atom

---

12.
A relaxed Cu5H crystal, computed with GGA-PBE.

Cell: 4.731 4.731 4.109 Å, 90.00 90.00 120.00°
Atoms (fractional coordinates):
Cu1 0.500 0.500 0.500
Cu2 0.500 0.000 0.500
Cu3 0.333 0.667 0.000
Cu4 0.667 0.333 0.000
Cu5 0.000 0.500 0.500
H1 0.000 0.000 0.000

Values from the calculation:
Total DFT energy (no corrections): -0.11308 hartree per atom

---

13.
A relaxed Cu2H5 crystal, computed with GGA-PBE.

Cell: 3.129 4.283 4.303 Å, 96.30 108.98 109.13°
Atoms (fractional coordinates):
H1 0.988 0.240 0.738
H2 0.500 0.500 0.500
Cu1 0.000 0.500 0.500
Cu2 0.000 0.000 0.000
H3 0.012 0.760 0.262
H4 0.677 0.189 0.150
H5 0.323 0.811 0.850

Values from the calculation:
Total DFT energy (no corrections): -0.11336 hartree per atom